16
Lattice="6.805 0.055 -0.066 -1.934 6.524 -0.066 -2.105 -2.843 7.870" Properties=species:S:1:pos:R:3 comment="CsAcCrO5 PBE with a Hubbard U optimized geometry" volume_a3_per_cell=347.68 final_energy_ev_per_cell=-107.3 m_tot_mub_per_cell=0.096 pbc="T T T"
O -2.167 2.123 6.747
O 3.716 -0.031 2.812
O -1.806 5.329 1.901
O -0.950 3.767 4.926
O 4.933 1.613 0.990
Cs 2.310 0.081 5.836
O -0.515 1.065 4.827
Cs 0.456 3.654 1.901
Cr 3.544 1.368 1.901
O 0.544 2.495 6.846
O 4.572 -1.594 5.836
Cr -0.778 2.367 5.836
O 3.280 2.671 2.910
O 2.221 1.240 0.892
Ac -1.052 -1.422 3.935
Ac 0.000 0.000 0.000